A plane-wave DFT calculation with SCAN was carried out for KIr3Rh at its PBEsol-relaxed geometry.

Computed properties:
Total energy   -246.8 eV/cell
Calculated formation energy   1722.7 meV/atom

Cell: 4.743 4.743 4.743 Å, 90.00 90.00 90.00°
Sites, in units of the cell vectors:
K (0.500, 0.500, 0.500)
Ir (0.000, 0.500, 0.000)
Ir (0.000, 0.000, 0.500)
Ir (0.500, 0.000, 0.000)
Rh (0.000, 0.000, 0.000)